TbZnH6Ir2 | PBE | optimized geometry

Properties
density = 11146 kg/m³
DOS at the Fermi energy = 0.19 states/eV per atom
total magnetization = 0.00 μB/atom
raw total energy = -4.698 eV per atom

a = 4.4920 Å, b = 4.4920 Å, c = 15.7250 Å
α = 90.00°, β = 90.00°, γ = 120.00°
Space group R-3m (No. 166, hexagonal axes)
Symmetry-distinct sites (fractional):
1 Tb 0.0000 0.0000 0.0000
2 Zn 0.0000 0.0000 0.5000
3 H 0.0033 0.5017 0.9425
4 Ir 0.0000 0.0000 0.2103